Entry from Alexandria: an optimized crystal structure of Ba2Al3CdGa4 (PBE).

- symmetry = P-4m2
- total magnetic moment (μB per formula unit) = 0.0
- E_form (eV per atom) = -0.3535

Cell: 4.638 4.638 11.061 Å, 90.00 90.00 90.00°
Fractional positions:
Ga: 0.000 0.500 0.363
Ba: 0.000 0.500 0.757
Ga: 0.500 0.500 0.000
Al: 0.000 0.000 0.500
Cd: 0.500 0.500 0.500
Ga: 0.000 0.000 0.000
Ga: 0.500 0.000 0.637
Al: 0.000 0.500 0.125
Ba: 0.500 0.000 0.243
Al: 0.500 0.000 0.875

Entry from Alexandria: an optimized crystal structure of BaAl2CdGa4 (PBE).

- symmetry = R-3m
- total magnetic moment (μB per formula unit) = 0.0
- E_form (eV per atom) = -0.1088

Cell: 4.759 4.759 9.830 Å, 75.99 75.99 60.00°
Fractional positions:
Al: 0.233 0.233 0.301
Ga: 0.404 0.404 0.787
Ga: 0.870 0.870 0.389
Al: 0.767 0.767 0.699
Cd: 0.500 0.500 0.500
Ba: 0.000 0.000 0.000
Ga: 0.596 0.596 0.213
Ga: 0.130 0.130 0.611

Entry from Alexandria: an optimized crystal structure of Ba2Al4CdGa3 (PBE).

- symmetry = P-4m2
- total magnetic moment (μB per formula unit) = 0.0
- E_form (eV per atom) = -0.3239

Cell: 4.625 4.625 11.131 Å, 90.00 90.00 90.00°
Fractional positions:
Cd: 0.500 0.500 0.500
Ba: 0.000 0.500 0.754
Al: 0.500 0.500 0.000
Al: 0.000 0.500 0.367
Ba: 0.500 0.000 0.246
Ga: 0.000 0.000 0.500
Al: 0.000 0.000 0.000
Ga: 0.500 0.000 0.872
Ga: 0.000 0.500 0.128
Al: 0.500 0.000 0.633

Entry from Alexandria: an optimized crystal structure of BaAlCd2Ga (PBE).

- symmetry = Imm2
- total magnetic moment (μB per formula unit) = 0.0
- E_form (eV per atom) = -0.2851

Cell: 4.589 4.728 6.830 Å, 110.25 109.63 90.00°
Fractional positions:
Ba: 0.439 0.439 0.877
Cd: 0.055 0.055 0.110
Al: 0.197 0.697 0.393
Cd: 0.700 0.200 0.400
Ga: 0.822 0.822 0.644

Entry from Alexandria: an optimized crystal structure of BaGdAlCd (PBE).

- symmetry = F-43m
- total magnetic moment (μB per formula unit) = 7.4
- E_form (eV per atom) = -0.1381

Cell: 5.597 5.597 5.597 Å, 60.00 60.00 60.00°
Fractional positions:
Gd: 0.500 0.500 0.500
Ba: 0.000 0.000 0.000
Cd: 0.750 0.750 0.750
Al: 0.250 0.250 0.250

Entry from Alexandria: an optimized crystal structure of Ba2AlCd3Ge4 (PBE).

- symmetry = P-4m2
- total magnetic moment (μB per formula unit) = 0.0
- E_form (eV per atom) = -0.3157

Cell: 4.750 4.750 11.256 Å, 90.00 90.00 90.00°
Fractional positions:
Ge: 0.500 0.500 0.000
Ge: 0.500 0.000 0.627
Cd: 0.000 0.500 0.131
Ba: 0.500 0.000 0.248
Cd: 0.500 0.000 0.869
Cd: 0.000 0.000 0.500
Ba: 0.000 0.500 0.752
Ge: 0.000 0.500 0.373
Ge: 0.000 0.000 0.000
Al: 0.500 0.500 0.500

Entry from Alexandria: an optimized crystal structure of Ba2Al4CdGe3 (PBE).

- symmetry = P-4m2
- total magnetic moment (μB per formula unit) = 0.0
- E_form (eV per atom) = -0.2844

Cell: 4.772 4.772 10.569 Å, 90.00 90.00 90.00°
Fractional positions:
Al: 0.500 0.000 0.630
Al: 0.000 0.000 0.000
Ba: 0.500 0.000 0.250
Ba: 0.000 0.500 0.750
Ge: 0.500 0.000 0.882
Ge: 0.000 0.000 0.500
Cd: 0.500 0.500 0.500
Al: 0.500 0.500 0.000
Al: 0.000 0.500 0.370
Ge: 0.000 0.500 0.118

Entry from Alexandria: an optimized crystal structure of BaAlCd2H (PBE).

- symmetry = P4/mmm
- E_tot (eV/atom) = -2.0751
- total magnetic moment (μB per formula unit) = 0.0

Cell: 5.754 3.811 5.754 Å, 90.00 90.00 90.00°
Fractional positions:
Al: 0.000 0.000 0.000
H: 0.000 0.500 0.000
Ba: 0.500 0.500 0.500
Cd: 0.000 0.000 0.500
Cd: 0.500 0.000 0.000

Entry from Alexandria: an optimized crystal structure of BaAlCdH6 (PBE).

- symmetry = P1
- E_tot (eV/atom) = -3.0466
- total magnetic moment (μB per formula unit) = 0.0

Cell: 5.213 5.590 4.964 Å, 87.60 85.57 52.47°
Fractional positions:
H: 0.320 0.506 0.216
Ba: 0.938 0.037 0.940
H: 0.393 0.126 0.803
H: 0.945 0.602 0.659
H: 0.447 0.542 0.688
Cd: 0.637 0.675 0.384
H: 0.230 0.108 0.353
H: 0.750 0.070 0.438
Al: 0.339 0.334 0.518

Entry from Alexandria: an optimized crystal structure of BaAlCd2Hg (PBE).

- symmetry = P4/mmm
- total magnetic moment (μB per formula unit) = 0.0
- E_form (eV per atom) = -0.1095

Cell: 5.352 5.352 5.331 Å, 90.00 90.00 90.00°
Fractional positions:
Ba: 0.500 0.500 0.500
Cd: 0.000 0.500 0.000
Cd: 0.500 0.000 0.000
Al: 0.000 0.000 0.000
Hg: 0.000 0.000 0.500

Entry from Alexandria: an optimized crystal structure of Ba2AlCd4Hg3 (PBE).

- symmetry = P-4m2
- total magnetic moment (μB per formula unit) = 0.0
- E_form (eV per atom) = -0.2900

Cell: 4.739 4.739 12.756 Å, 90.00 90.00 90.00°
Fractional positions:
Cd: 0.000 0.500 0.372
Cd: 0.500 0.500 0.000
Hg: 0.000 0.000 0.500
Hg: 0.000 0.500 0.143
Ba: 0.500 0.000 0.255
Cd: 0.500 0.000 0.628
Cd: 0.000 0.000 0.000
Ba: 0.000 0.500 0.745
Hg: 0.500 0.000 0.857
Al: 0.500 0.500 0.500

Entry from Alexandria: an optimized crystal structure of Ba2Al4CdHg3 (PBE).

- symmetry = P-4m2
- total magnetic moment (μB per formula unit) = 0.0
- E_form (eV per atom) = -0.2741

Cell: 4.725 4.725 11.524 Å, 90.00 90.00 90.00°
Fractional positions:
Hg: 0.500 0.000 0.871
Ba: 0.000 0.500 0.751
Al: 0.000 0.000 0.000
Al: 0.000 0.500 0.367
Al: 0.500 0.500 0.000
Hg: 0.000 0.500 0.129
Hg: 0.000 0.000 0.500
Cd: 0.500 0.500 0.500
Al: 0.500 0.000 0.633
Ba: 0.500 0.000 0.249

What is the total magnetic moment in the ninth record? 0.0 μB per formula unit